Entry a
The following is a GGA-PBE calculation of crystalline H2IrCl2 at its relaxed geometry, from Alexandria.

```
H2IrCl2
1.0
-2.2629 2.2629 3.1902
2.2629 -2.2629 3.1902
2.2629 2.2629 -3.1902
H Ir Cl
2 1 2
direct
0.0585 0.0585 0.0000
0.9415 0.9415 0.0000
0.5000 0.5000 0.0000
0.2500 0.7500 0.5000
0.7500 0.2500 0.5000
```

Results
- Fermi-level density of states (states/eV/f.u.) = 0.04
- space-group type = I4/mmm (139)

=====

Entry b
The following is a GGA-PBE calculation of crystalline H2IrCl2 at its relaxed geometry, from Alexandria.

```
H2IrCl2
1.0
5.7313 0.0000 0.0000
0.0000 5.7313 0.0000
0.0000 0.0000 3.9030
H Ir Cl
4 2 4
direct
0.2421 0.2579 0.0000
0.2579 0.7579 0.0000
0.7421 0.2421 0.0000
0.7579 0.7421 0.0000
0.0000 0.0000 0.0000
0.5000 0.5000 0.0000
0.2159 0.2841 0.5000
0.2841 0.7841 0.5000
0.7159 0.2159 0.5000
0.7841 0.7159 0.5000
```

Results
- Fermi-level density of states (states/eV/f.u.) = 2.13
- space-group type = P4/mbm (127)

=====

Which structure is the least stable? The one labeled entry b.

=====

Entry a
The following is a GGA-PBE calculation of crystalline HIrS2Cl at its relaxed geometry, from Alexandria.

```
HIrS2Cl
1.0
3.5423 0.0000 0.0000
0.0000 3.5423 0.0000
0.0000 0.0000 6.7727
H Ir S Cl
1 1 2 1
direct
0.0000 0.0000 0.0000
0.5000 0.5000 0.5000
0.0000 0.5000 0.0000
0.5000 0.0000 0.0000
0.0000 0.0000 0.5000
```

Results
- Fermi-level density of states (states/eV/f.u.) = 4.75
- space-group type = P4/mmm (123)

=====

Entry b
The following is a GGA-PBE calculation of crystalline HIrS2Cl at its relaxed geometry, from Alexandria.

```
HIrS2Cl
1.0
4.5510 0.0000 0.0000
0.0000 4.5510 0.0000
0.0000 0.0000 5.1692
H Ir S Cl
1 1 2 1
direct
0.0000 0.0000 0.0000
0.5000 0.5000 0.5000
0.0000 0.5000 0.5000
0.5000 0.0000 0.5000
0.5000 0.5000 0.0000
```

Results
- Fermi-level density of states (states/eV/f.u.) = 3.45
- space-group type = P4/mmm (123)

=====

Which structure is the least stable? The one labeled entry a.